Here is a relaxed Ho3HN2 crystal from the Alexandria database. Energies are from GGA-PBE.

a b c (Å): 6.0821 6.0821 10.6480
angles (deg): 90.00 90.00 147.42
Element x y z (fractional)
Ho 0.1012 0.8988 0.7500
Ho 0.3847 0.6153 0.5787
Ho 0.3847 0.6153 0.9213
Ho 0.6153 0.3847 0.0787
Ho 0.6153 0.3847 0.4213
Ho 0.8988 0.1012 0.2500
H 0.2344 0.7656 0.2500
H 0.7656 0.2344 0.7500
N 0.0000 0.0000 0.0000
N 0.0000 0.0000 0.5000
N 0.4866 0.5134 0.7500
N 0.5134 0.4866 0.2500

Values from the calculation:
SG: No. 63
spin magnetization: 0.0 μB per cell
volume: 212.1 Å³/cell
E_tot: -6.63 eV/atom